## Zr3Tl3VS8 (PBE)

Data for an optimized crystal structure of Zr3Tl3VS8.

Values from the calculation:
V, Å³ per cell: 1087
Formation energy without anion corrections, kcal/mol of atoms: -25.7
Theoretical density, g/cm³: 5.47
Crystal system: trigonal
Total energy, eV/atom: -6.1084

Cell lengths 7.2807, 7.2807, 23.6734 Å; angles 90.00, 90.00, 120.00 degrees
Last column: nearest neighbours and their distance in Å.
Space group R-3m (No. 166, hexagonal axes)
Asymmetric unit:
Zr (0.0000, 0.5000, 0.0000) x9  6 S 2.59-2.60
Tl (0.0000, 0.5000, 0.5000) x9  6 S 3.21-3.23
V (0.0000, 0.0000, 0.0000) x3  6 S 2.51
S (0.0000, 0.0000, 0.2689) x6  3 Zr 2.60
S (0.0101, 0.5051, 0.7288) x18  1 V 2.51, 2 Zr 2.59